This record from Alexandria describes a relaxed structure of HoCu4P3. The functional is PBE-GGA.

## Properties
ρ ... 7.207 g/cm3
Total magnetic moment ... 0.0 Bohr magnetons per cell
Calculated total energy ... -5.08 eV/atom
Formation enthalpy at 0 K ... -3.4 eV/f.u.

Cell: 3.929 3.929 7.642 Å, 90.00 90.00 90.00°
Space group P4/mmm (No. 123)
Asymmetric unit:
Ho1 0.000 0.000 0.000 x1
Cu1 0.000 0.500 0.320 x4
P1 0.000 0.000 0.500 x1
P2 0.500 0.500 0.148 x2